A relaxed Rb3CrAg2Br9 crystal. Source: the Alexandria database, functional GGA-PBE.

## Properties
The formation energy from raw total energies comes out at -0.9859 eV per atom. For the density of states at the Fermi level, the calculation gives 9.90 states/eV/cell. The total moment is 0.236 μB per atom.

Structure (extended XYZ):
```
15
Lattice="7.633 0.000 0.000 -3.817 6.611 0.000 0.000 0.000 9.432" Properties=species:S:1:pos:R:3 pbc="T T T"
Rb 3.817 2.204 3.107
Br 1.809 1.044 6.181
Br 2.008 5.566 3.251
Br -2.008 5.566 3.251
Br 5.825 1.044 6.181
Br 1.908 3.305 0.000
Cr 0.000 0.000 4.716
Ag 0.000 4.407 1.577
Br 0.000 2.089 3.251
Br 3.817 4.522 6.181
Ag 3.817 2.204 7.855
Br 3.817 0.000 0.000
Rb 0.000 0.000 0.000
Br -1.908 3.305 0.000
Rb 0.000 4.407 6.325
```